Record 1
DFT (PBE) results for a geometry-optimized InCoTcHg structure.

Calculated volume in Å³ per atom: 16.76
Symmetry: F-43m, No. 216
E in Ry per atom: -0.3374

Unit cell a=4.5599 b=4.5599 c=4.5599 alpha=60.00 beta=60.00 gamma=60.00
Last column: nearest neighbours and their distance in Å.
Element x y z (fractional)
Hg: 0.5000 0.5000 0.5000  4 Tc 2.79, 4 Co 2.79
Co: 0.7500 0.7500 0.7500  4 In 2.79, 4 Hg 2.79
In: 0.0000 0.0000 0.0000  4 Co 2.79, 4 Tc 2.79
Tc: 0.2500 0.2500 0.2500  4 Hg 2.79, 4 In 2.79



Record 2
DFT (PBE) results for a geometry-optimized GaCu2Ge structure.

Calculated volume in Å³ per atom: 14.76
Symmetry: Pm-3m, No. 221
E in Ry per atom: -0.2679

Unit cell a=6.1807 b=6.1807 c=6.1807 alpha=90.00 beta=90.00 gamma=90.00
Last column: nearest neighbours and their distance in Å.
Element x y z (fractional)
Ga: 0.0000 0.5000 0.0000  8 Cu 2.66
Ga: 0.0000 0.0000 0.0000  8 Cu 2.62
Ga: 0.5000 0.0000 0.0000  8 Cu 2.66
Ga: 0.0000 0.0000 0.5000  8 Cu 2.66
Cu: 0.2450 0.2450 0.7550  4 Ga 2.62-2.66, 4 Ge 2.69-2.73
Cu: 0.7550 0.2450 0.7550  4 Ga 2.62-2.66, 4 Ge 2.69-2.73
Cu: 0.2450 0.2450 0.2450  4 Ga 2.62-2.66, 4 Ge 2.69-2.73
Cu: 0.2450 0.7550 0.2450  4 Ga 2.62-2.66, 4 Ge 2.69-2.73
Cu: 0.7550 0.7550 0.2450  4 Ga 2.62-2.66, 4 Ge 2.69-2.73
Cu: 0.2450 0.7550 0.7550  4 Ga 2.62-2.66, 4 Ge 2.69-2.73
Cu: 0.7550 0.2450 0.2450  4 Ga 2.62-2.66, 4 Ge 2.69-2.73
Cu: 0.7550 0.7550 0.7550  4 Ga 2.62-2.66, 4 Ge 2.69-2.73
Ge: 0.5000 0.5000 0.5000  8 Cu 2.73
Ge: 0.5000 0.5000 0.0000  8 Cu 2.69
Ge: 0.0000 0.5000 0.5000  8 Cu 2.69
Ge: 0.5000 0.0000 0.5000  8 Cu 2.69



Record 3
DFT (PBE) results for a geometry-optimized BaTaTl2 structure.

Calculated volume in Å³ per atom: 30.50
Symmetry: Cmcm, No. 63
E in Ry per atom: -0.2983

Unit cell a=6.6368 b=6.6368 c=5.5732 alpha=90.00 beta=90.00 gamma=83.71
Last column: nearest neighbours and their distance in Å.
Element x y z (fractional)
Ta: 0.5000 0.5000 0.5000  2 Ta 2.79, 4 Tl 3.03
Ta: 0.5000 0.5000 0.0000  2 Ta 2.79, 4 Tl 3.03
Ba: 0.8736 0.1264 0.7500  6 Tl 3.40-3.48, 2 Ba 3.57, 2 Ta 3.59
Ba: 0.1264 0.8736 0.2500  6 Tl 3.40-3.48, 2 Ba 3.57, 2 Ta 3.59
Tl: 0.9073 0.4343 0.2500  2 Ta 3.03, 3 Tl 3.21-3.38
Tl: 0.0927 0.5657 0.7500  2 Ta 3.03, 3 Tl 3.21-3.38
Tl: 0.4343 0.9073 0.7500  2 Ta 3.03, 3 Tl 3.21-3.38
Tl: 0.5657 0.0927 0.2500  2 Ta 3.03, 3 Tl 3.21-3.38



Record 4
DFT (PBE) results for a geometry-optimized Be2CdGa structure.

Calculated volume in Å³ per atom: 14.85
Symmetry: F-43m, No. 216
E in Ry per atom: -0.1628

Unit cell a=4.3797 b=4.3797 c=4.3797 alpha=60.00 beta=60.00 gamma=60.00
Last column: nearest neighbours and their distance in Å.
Element x y z (fractional)
Be: 0.7500 0.7500 0.7500  4 Ga 2.68, 4 Be 2.68
Be: 0.0000 0.0000 0.0000  4 Be 2.68, 4 Cd 2.68
Cd: 0.2500 0.2500 0.2500  4 Ga 2.68, 4 Be 2.68
Ga: 0.5000 0.5000 0.5000  4 Be 2.68, 4 Cd 2.68